Version i
# Th2NiAg, optimized geometry, DFT PBE
# Calculated volume in Å³/f.u.: 95.8
data_Th2NiAg
_space_group_name_H-M_alt 'F m -3 m'
_space_group_IT_number 225
_space_group_name_Hall '-F 4 2 3'
_cell_length_a 7.263
_cell_length_b 7.263
_cell_length_c 7.263
_cell_angle_alpha 90.00
_cell_angle_beta 90.00
_cell_angle_gamma 90.00
loop_
_atom_site_label
_atom_site_type_symbol
_atom_site_fract_x
_atom_site_fract_y
_atom_site_fract_z
Th1 Th 0.250 0.250 0.250
Ni1 Ni 0.000 0.000 0.000
Ag1 Ag 0.000 0.000 0.500


Version ii
# Th2NiAg, optimized geometry, DFT PBE
# Calculated volume in Å³/f.u.: 111.7
data_Th2NiAg
_space_group_name_H-M_alt 'R -3 m'
_space_group_IT_number 166
_space_group_name_Hall '-R 3 2"'
_cell_length_a 3.6160
_cell_length_b 3.6160
_cell_length_c 29.5985
_cell_angle_alpha 90.00
_cell_angle_beta 90.00
_cell_angle_gamma 120.00
loop_
_atom_site_label
_atom_site_type_symbol
_atom_site_fract_x
_atom_site_fract_y
_atom_site_fract_z
Th1 Th 0.0000 0.0000 0.1052
Ni1 Ni 0.0000 0.0000 0.5000
Ag1 Ag 0.0000 0.0000 0.0000


How far above the most stable structure does each one sit? In meV per atom: version i 0; version ii 339.


Version i
# Ti2NiAg, optimized geometry, DFT PBE
# Calculated volume in Å³/f.u.: 65.8
data_Ti2NiAg
_space_group_name_H-M_alt 'I -4 2 d'
_space_group_IT_number 122
_space_group_name_Hall 'I -4 2bw'
_cell_length_a 3.798
_cell_length_b 3.798
_cell_length_c 18.254
_cell_angle_alpha 90.00
_cell_angle_beta 90.00
_cell_angle_gamma 90.00
loop_
_atom_site_label
_atom_site_type_symbol
_atom_site_fract_x
_atom_site_fract_y
_atom_site_fract_z
Ti1 Ti 0.238 0.250 0.125
Ni1 Ni 0.000 0.000 0.000
Ag1 Ag 0.000 0.000 0.500


Version ii
# Ti2NiAg, optimized geometry, DFT PBE
# Calculated volume in Å³/f.u.: 61.4
data_Ti2NiAg
_space_group_name_H-M_alt 'P 4/m m m'
_space_group_IT_number 123
_space_group_name_Hall '-P 4 2'
_cell_length_a 2.772
_cell_length_b 2.772
_cell_length_c 7.993
_cell_angle_alpha 90.00
_cell_angle_beta 90.00
_cell_angle_gamma 90.00
loop_
_atom_site_label
_atom_site_type_symbol
_atom_site_fract_x
_atom_site_fract_y
_atom_site_fract_z
Ti1 Ti 0.000 0.000 0.216
Ni1 Ni 0.500 0.500 0.000
Ag1 Ag 0.500 0.500 0.500


Version iii
# Ti2NiAg, optimized geometry, DFT PBE
# Calculated volume in Å³/f.u.: 65.1
data_Ti2NiAg
_space_group_name_H-M_alt 'R -3 m'
_space_group_IT_number 166
_space_group_name_Hall '-R 3 2"'
_cell_length_a 2.7842
_cell_length_b 2.7842
_cell_length_c 29.0862
_cell_angle_alpha 90.00
_cell_angle_beta 90.00
_cell_angle_gamma 120.00
loop_
_atom_site_label
_atom_site_type_symbol
_atom_site_fract_x
_atom_site_fract_y
_atom_site_fract_z
Ti1 Ti 0.0000 0.0000 0.0959
Ni1 Ni 0.0000 0.0000 0.5000
Ag1 Ag 0.0000 0.0000 0.0000


Version iv
# Ti2NiAg, optimized geometry, DFT PBE
# Calculated volume in Å³/f.u.: 62.9
data_Ti2NiAg
_space_group_name_H-M_alt 'F m -3 m'
_space_group_IT_number 225
_space_group_name_Hall '-F 4 2 3'
_cell_length_a 6.314
_cell_length_b 6.314
_cell_length_c 6.314
_cell_angle_alpha 90.00
_cell_angle_beta 90.00
_cell_angle_gamma 90.00
loop_
_atom_site_label
_atom_site_type_symbol
_atom_site_fract_x
_atom_site_fract_y
_atom_site_fract_z
Ti1 Ti 0.250 0.250 0.250
Ni1 Ni 0.000 0.000 0.000
Ag1 Ag 0.000 0.000 0.500


How far above the most stable structure does each one sit? In meV per atom: version i 503; version ii 0; version iii 318; version iv 125.


Version i
# TiNiAg2, optimized geometry, DFT PBE
# Calculated volume in Å³/f.u.: 69.7
data_TiNiAg2
_space_group_name_H-M_alt 'I -4 2 d'
_space_group_IT_number 122
_space_group_name_Hall 'I -4 2bw'
_cell_length_a 7.303
_cell_length_b 7.303
_cell_length_c 5.229
_cell_angle_alpha 90.00
_cell_angle_beta 90.00
_cell_angle_gamma 90.00
loop_
_atom_site_label
_atom_site_type_symbol
_atom_site_fract_x
_atom_site_fract_y
_atom_site_fract_z
Ti1 Ti 0.000 0.000 0.000
Ni1 Ni 0.000 0.000 0.500
Ag1 Ag 0.221 0.250 0.625


Version ii
# TiNiAg2, optimized geometry, DFT PBE
# Calculated volume in Å³/f.u.: 62.9
data_TiNiAg2
_space_group_name_H-M_alt 'F m -3 m'
_space_group_IT_number 225
_space_group_name_Hall '-F 4 2 3'
_cell_length_a 6.312
_cell_length_b 6.312
_cell_length_c 6.312
_cell_angle_alpha 90.00
_cell_angle_beta 90.00
_cell_angle_gamma 90.00
loop_
_atom_site_label
_atom_site_type_symbol
_atom_site_fract_x
_atom_site_fract_y
_atom_site_fract_z
Ti1 Ti 0.000 0.000 0.000
Ni1 Ni 0.000 0.000 0.500
Ag1 Ag 0.250 0.250 0.250


How far above the most stable structure does each one sit? In meV per atom: version i 301; version ii 0.


Version i
# TiNiAg3, optimized geometry, DFT PBE
# Calculated volume in Å³/f.u.: 104.1
data_TiNiAg3
_space_group_name_H-M_alt 'P m -3 m'
_space_group_IT_number 221
_space_group_name_Hall '-P 4 2 3'
_cell_length_a 4.704
_cell_length_b 4.704
_cell_length_c 4.704
_cell_angle_alpha 90.00
_cell_angle_beta 90.00
_cell_angle_gamma 90.00
loop_
_atom_site_label
_atom_site_type_symbol
_atom_site_fract_x
_atom_site_fract_y
_atom_site_fract_z
Ti1 Ti 0.000 0.000 0.000
Ni1 Ni 0.500 0.500 0.500
Ag1 Ag 0.000 0.500 0.500


Version ii
# TiNiAg3, optimized geometry, DFT PBE
# Calculated volume in Å³/f.u.: 121.0
data_TiNiAg3
_space_group_name_H-M_alt 'P m -3 m'
_space_group_IT_number 221
_space_group_name_Hall '-P 4 2 3'
_cell_length_a 4.947
_cell_length_b 4.947
_cell_length_c 4.947
_cell_angle_alpha 90.00
_cell_angle_beta 90.00
_cell_angle_gamma 90.00
loop_
_atom_site_label
_atom_site_type_symbol
_atom_site_fract_x
_atom_site_fract_y
_atom_site_fract_z
Ti1 Ti 0.000 0.000 0.000
Ni1 Ni 0.500 0.500 0.500
Ag1 Ag 0.000 0.000 0.500


How far above the most stable structure does each one sit? In meV per atom: version i 0; version ii 537.